This record from the Alexandria database describes an optimized crystal structure of AgSbAu. The functional is PBE-GGA.

Properties
* excess energy over the best structure of this formula in the dataset: 70 meV per atom
* uncorrected formation energy: 0.052 eV/atom
* DOS at the Fermi energy: 0.268 states/eV/atom
* total magnetization: 0.0 μB/f.u.
* calculated density: 10.586 g/cm³

Unit cell a=5.017 b=5.017 c=3.070 alpha=90.00 beta=90.00 gamma=120.00
Sites, in units of the cell vectors:
Sb1 0.667 0.333 0.333
Au1 0.333 0.667 0.333
Ag1 0.000 0.000 0.334